! CsPdI4 PBE relaxed; values from VASP
&SYSTEM
  ibrav = 0, nat = 12, ntyp = 3
/
ATOMIC_SPECIES
Cs 132.91 Cs.upf
I 126.90 I.upf
Pd 106.42 Pd.upf
ATOMIC_POSITIONS crystal
Cs 0.826 0.000 0.250
Cs 0.174 0.000 0.750
I 0.245 0.807 0.107
I 0.830 0.587 0.316
I 0.755 0.193 0.893
I 0.243 0.413 0.184
I 0.438 0.193 0.393
I 0.562 0.807 0.607
I 0.757 0.587 0.816
I 0.170 0.413 0.684
Pd 0.000 0.500 0.000
Pd 0.500 0.500 0.500
CELL_PARAMETERS angstrom
7.416 0.000 0.000
-3.708 8.724 -2.246
0.000 -0.617 7.805
! ΔE_f (raw)	-0.59	eV/atom
! offset from the most stable computed form	0.0	kJ per mole of atoms
! total energy	-2.632	eV/atom
! symmetry	C2/c, No. 15

---

! CsPdI4 PBE relaxed; values from VASP
&SYSTEM
  ibrav = 0, nat = 12, ntyp = 3
/
ATOMIC_SPECIES
Cs 132.91 Cs.upf
I 126.90 I.upf
Pd 106.42 Pd.upf
ATOMIC_POSITIONS crystal
Cs 0.601 0.250 0.202
Cs 0.399 0.750 0.798
I 0.184 0.980 0.368
I 0.000 0.500 0.000
I 0.816 0.480 0.632
I 0.406 0.250 0.813
I 0.000 0.000 0.000
I 0.816 0.020 0.632
I 0.184 0.520 0.368
I 0.594 0.750 0.187
Pd 0.094 0.750 0.187
Pd 0.906 0.250 0.813
CELL_PARAMETERS angstrom
-1.719 0.642 -5.493
4.816 -6.103 -2.220
-7.038 -7.160 4.418
! ΔE_f (raw)	-0.57	eV/atom
! offset from the most stable computed form	2.2	kJ per mole of atoms
! total energy	-2.609	eV/atom
! symmetry	Cmcm, No. 63

---

! Cs3PdI4 PBE relaxed; values from VASP
&SYSTEM
  ibrav = 0, nat = 16, ntyp = 3
/
ATOMIC_SPECIES
Pd 106.42 Pd.upf
Cs 132.91 Cs.upf
I 126.90 I.upf
ATOMIC_POSITIONS crystal
Pd 0.480 0.811 0.500
Pd 0.980 0.189 0.000
Cs 0.627 0.899 0.000
Cs 0.127 0.101 0.500
Cs 0.009 0.697 0.753
Cs 0.509 0.303 0.253
Cs 0.009 0.697 0.247
Cs 0.509 0.303 0.747
I 0.013 0.211 0.211
I 0.718 0.427 0.000
I 0.013 0.211 0.789
I 0.218 0.573 0.500
I 0.513 0.789 0.289
I 0.513 0.789 0.711
I 0.145 0.884 0.000
I 0.645 0.116 0.500
CELL_PARAMETERS angstrom
-0.625 -3.983 -6.642
7.411 2.137 -1.979
4.763 -10.890 6.081
! ΔE_f (raw)	-1.08	eV/atom
! total energy	-2.824	eV/atom
! symmetry	Pmn2_1, No. 31